An optimized crystal structure of Ce5YBi6. Source: Alexandria, functional PBE-GGA. Values from VASP.

Symmetry   No. 12
Calculated formation energy   -0.803 eV per atom
Electronic total energy   -5.7543 eV per atom
Calculated density   8.31 g/cm³
DOS at the Fermi energy   35.71 states/eV/f.u.

Quantum ESPRESSO input file:
```
&SYSTEM
  ibrav = 0, nat = 12, ntyp = 3
/
ATOMIC_SPECIES
Ce 140.12 Ce.upf
Y 88.91 Y.upf
Bi 208.98 Bi.upf
CELL_PARAMETERS angstrom
3.954 -6.851 0.000
3.954 6.851 0.000
-2.639 0.000 7.540
ATOMIC_POSITIONS angstrom
Ce 0.000 0.000 0.000
Ce 2.634 4.575 3.770
Ce 3.954 2.303 0.000
Ce 3.954 -2.303 0.000
Ce 2.634 -4.575 3.770
Y 2.634 0.000 3.770
Bi 1.331 2.264 1.907
Bi 0.025 0.000 5.649
Bi 1.331 -2.264 1.907
Bi 3.938 2.264 5.633
Bi 5.244 0.000 1.892
Bi 3.938 -2.264 5.633
```